# 1
The following is a PBE-GGA calculation of an optimized crystal structure of La3CeSb4, from the Alexandria database.

```
8
Lattice="4.595 0.000 0.000 0.000 7.963 -0.073 0.000 -2.579 7.534" Properties=species:S:1:pos:R:3 pbc="T T T"
Sb 0.000 1.317 1.825
Sb 0.000 4.067 5.636
Sb 2.298 5.359 1.807
Sb 2.298 0.025 5.655
Ce 2.298 0.000 0.000
La 2.298 2.692 3.731
La 0.000 3.982 -0.036
La 0.000 -1.290 3.767
```

Size of the total moment, Bohr magnetons per cell: 0.75
Fermi-level density of states, states/eV per atom: 0.960
Crystal system: orthorhombic
Formation energy from raw total energies, eV per atom: -1.22

# 2
The following is a PBE-GGA calculation of an optimized crystal structure of Pr2PO, from the Alexandria database.

```
4
Lattice="3.829 0.000 0.000 1.914 3.316 0.000 1.914 1.105 6.819" Properties=species:S:1:pos:R:3 pbc="T T T"
O 3.829 2.210 3.492
P 5.743 3.316 6.796
Pr 1.914 1.105 1.739
Pr 1.914 1.105 5.021
```

Size of the total moment, Bohr magnetons per cell: 0.00
Fermi-level density of states, states/eV per atom: 0.578
Crystal system: trigonal
ΔE to the lowest computed polymorph, meV per atom: 188
Formation energy from raw total energies, eV per atom: -1.86

# 3
The following is a PBE-GGA calculation of an optimized crystal structure of Tl12Pd3Se5, from the Alexandria database.

```
80
Lattice="14.888 0.000 0.000 -4.963 14.037 0.000 -4.963 -7.018 12.156" Properties=species:S:1:pos:R:3 pbc="T T T"
Pd 1.241 -0.877 4.559
Pd 6.203 0.877 4.559
Pd 3.722 0.000 9.117
Pd -3.722 2.632 10.637
Pd 3.722 7.896 7.598
Pd 8.685 4.386 1.520
Pd 1.241 7.018 3.039
Pd -3.722 -2.632 10.637
Pd -6.203 7.018 9.117
Pd -1.241 6.141 7.598
Pd 11.166 0.000 3.039
Pd 8.685 9.650 1.520
Se 3.722 10.527 3.039
Se 4.963 -3.509 6.078
Se -1.241 11.405 1.520
Se 0.000 0.000 0.000
Se 8.685 -0.877 7.598
Se -3.722 7.896 4.559
Se 6.203 -4.386 10.637
Se 6.203 3.509 9.117
Se 6.203 6.141 4.559
Se -1.241 0.877 7.598
Se 1.241 4.386 10.637
Se -2.481 -3.509 6.078
Se 7.444 0.000 0.000
Se 1.241 -3.509 9.117
Se -2.481 7.018 0.000
Se 4.963 7.018 0.000
Se -1.241 3.509 3.039
Se 3.722 2.632 1.520
Se 2.481 3.509 6.078
Se -4.963 3.509 6.078
Tl -0.063 4.901 5.277
Tl 7.906 -0.734 2.881
Tl -4.500 6.371 6.883
Tl -4.900 10.530 4.472
Tl 2.419 -2.117 6.879
Tl 0.462 8.399 8.154
Tl 9.988 1.390 0.805
Tl 2.161 -1.935 11.355
Tl 7.123 7.292 2.076
Tl 2.161 1.661 10.881
Tl 10.246 6.745 2.076
Tl -1.636 4.619 10.550
Tl 5.283 1.935 11.355
Tl -0.846 7.937 4.803
Tl -0.462 0.734 2.881
Tl 5.283 -1.661 10.881
Tl -2.419 -5.628 11.351
Tl 9.863 -3.512 7.684
Tl -1.636 -3.701 8.959
Tl -4.117 11.637 1.606
Tl 9.463 0.647 5.273
Tl 2.544 9.135 5.277
Tl -5.025 5.628 11.351
Tl -0.321 5.084 0.801
Tl 6.598 10.719 3.197
Tl 2.944 1.381 4.002
Tl 3.327 6.100 4.803
Tl -2.019 -0.647 5.273
Tl 9.080 -4.619 10.550
Tl -2.944 7.752 9.275
Tl 5.808 -0.918 7.353
Tl 7.381 12.647 0.805
Tl -0.321 8.679 1.275
Tl 5.425 6.285 9.275
Tl 10.771 3.318 3.197
Tl 7.381 3.507 4.472
Tl -2.419 3.512 7.684
Tl 2.019 5.637 8.154
Tl -5.808 3.701 8.959
Tl 1.636 0.918 7.353
Tl 2.802 5.357 1.275
Tl -2.161 -0.274 10.080
Tl 6.598 2.399 1.606
Tl 2.802 8.953 0.801
Tl 5.025 2.117 6.879
Tl 4.500 -1.381 4.002
Tl -5.283 0.274 10.080
Tl 6.982 7.666 6.883
```

Size of the total moment, Bohr magnetons per cell: 0.00
Fermi-level density of states, states/eV per atom: 0.468
Crystal system: cubic
Formation energy from raw total energies, eV per atom: -0.12

# 4
The following is a PBE-GGA calculation of an optimized crystal structure of LaEuDySc, from the Alexandria database.

```
4
Lattice="5.703 0.000 0.000 2.852 4.939 0.000 2.852 1.646 4.657" Properties=species:S:1:pos:R:3 pbc="T T T"
Dy 2.852 1.646 1.164
Sc 0.000 0.000 0.000
Eu 5.703 3.293 2.328
La 8.555 4.939 3.492
```

VASP energy, eV/atom: -6.3801
Size of the total moment, Bohr magnetons per cell: 7.58
Fermi-level density of states, states/eV per atom: 1.635
Crystal system: cubic

# 5
The following is a PBE-GGA calculation of an optimized crystal structure of Ti3BiS, from the Alexandria database.

```
10
Lattice="-0.695 -2.339 4.274 4.717 0.422 0.998 -1.193 7.334 2.537" Properties=species:S:1:pos:R:3 pbc="T T T"
S -0.014 3.751 4.348
S 2.843 1.666 3.461
Ti 0.413 1.685 3.206
Ti 2.417 3.732 4.603
Ti 2.372 1.060 5.946
Ti -0.212 6.116 4.286
Ti 3.042 -0.698 3.523
Ti 0.458 4.357 1.863
Bi 2.504 6.238 3.131
Bi 0.326 -0.821 4.678
```

Size of the total moment, Bohr magnetons per cell: 2.23
Fermi-level density of states, states/eV per atom: 0.930
Crystal system: monoclinic
ΔE to the lowest computed polymorph, meV per atom: 0
Formation energy from raw total energies, eV per atom: -0.53

# 6
The following is a PBE-GGA calculation of an optimized crystal structure of GdScTe, from the Alexandria database.

```
3
Lattice="-0.068 -3.369 1.744 3.276 -0.932 -1.673 1.183 4.299 4.224" Properties=species:S:1:pos:R:3 pbc="T T T"
Te 2.636 -1.354 1.614
Sc 1.753 1.352 2.680
Gd 0.001 0.000 0.001
```

Size of the total moment, Bohr magnetons per cell: 7.25
Fermi-level density of states, states/eV per atom: 0.926
Crystal system: tetragonal
ΔE to the lowest computed polymorph, meV per atom: 0
Formation energy from raw total energies, eV per atom: -0.75